## ScIr2Ru (GGA-PBE)

Data for a geometry-optimized ScIr2Ru structure.

a = 4.7514 Å, b = 4.7514 Å, c = 2.8397 Å
α = 90.00°, β = 90.00°, γ = 107.97°
Last column: nearest neighbours and their distance in Å.
Fractional coordinates of all 4 atoms:
Sc: 0.0000 0.0000 0.0000  8 Ir 2.77, 2 Ru 2.79, 2 Sc 2.84
Ir: 0.0000 0.5000 0.5000  4 Sc 2.77, 4 Ru 2.77, 4 Ir 2.79-2.84
Ir: 0.5000 0.0000 0.5000  4 Sc 2.77, 4 Ru 2.77, 4 Ir 2.79-2.84
Ru: 0.5000 0.5000 0.0000  8 Ir 2.77, 2 Sc 2.79, 2 Ru 2.84

Summary:
Energy relative to the elements (eV/atom): -0.434
ΔE to the lowest computed polymorph (eV per atom): 0.009

***

## TlCr4Co (GGA-PBE)

Data for a geometry-optimized TlCr4Co structure.

a = 4.8328 Å, b = 4.8328 Å, c = 4.8328 Å
α = 60.00°, β = 60.00°, γ = 60.00°
Last column: nearest neighbours and their distance in Å.
Fractional coordinates of all 6 atoms:
Tl: 0.0000 0.0000 0.0000  12 Cr 2.83, 4 Co 2.96
Cr: 0.3752 0.3752 0.3752  6 Cr 2.41-2.42
Cr: 0.3752 0.3752 0.8743  6 Cr 2.41-2.42
Cr: 0.3752 0.8743 0.3752  6 Cr 2.41-2.42
Cr: 0.8743 0.3752 0.3752  6 Cr 2.41-2.42
Co: 0.7500 0.7500 0.7500  12 Cr 2.83, 4 Tl 2.96

Summary:
Energy relative to the elements (eV/atom): 0.552

***

## Tl2CdInRh (GGA-PBE)

Data for a geometry-optimized Tl2CdInRh structure.

a = 5.3063 Å, b = 5.3063 Å, c = 5.2025 Å
α = 90.00°, β = 90.00°, γ = 90.00°
Last column: nearest neighbours and their distance in Å.
Fractional coordinates of all 5 atoms:
Tl: 0.0000 0.5000 0.0000  2 Rh 2.65
Tl: 0.5000 0.0000 0.0000  2 Rh 2.65
Cd: 0.0000 0.0000 0.5000  8 Tl 3.72, 4 In 3.75
In: 0.5000 0.5000 0.5000  2 Rh 2.60
Rh: 0.5000 0.5000 0.0000  2 In 2.60, 4 Tl 2.65

Summary:
Energy relative to the elements (eV/atom): 0.007

***

## MgBe2Te (GGA-PBE)

Data for a geometry-optimized MgBe2Te structure.

a = 4.2171 Å, b = 4.2171 Å, c = 3.7702 Å
α = 90.00°, β = 90.00°, γ = 90.00°
Last column: nearest neighbours and their distance in Å.
Fractional coordinates of all 4 atoms:
Mg: 0.0000 0.0000 0.0000  8 Be 2.83, 4 Te 2.98
Be: 0.0000 0.5000 0.5000  4 Mg 2.83, 4 Te 2.83, 4 Be 2.98
Be: 0.5000 0.0000 0.5000  4 Mg 2.83, 4 Te 2.83, 4 Be 2.98
Te: 0.5000 0.5000 0.0000  8 Be 2.83, 4 Mg 2.98

Summary:
ΔE to the lowest computed polymorph (eV per atom): 0.368

***

## YHgAu2 (GGA-PBE)

Data for a geometry-optimized YHgAu2 structure.

a = 3.6264 Å, b = 4.4435 Å, c = 5.8964 Å
α = 90.00°, β = 107.55°, γ = 90.00°
Last column: nearest neighbours and their distance in Å.
Fractional coordinates of all 4 atoms:
Y: 0.0000 0.0000 0.0000  7 Au 2.98-3.20
Hg: 0.3215 0.5000 0.6480  7 Au 2.93-3.25
Au: 0.5827 0.5000 0.1692  2 Au 2.79, 1 Hg 2.93, 4 Y 3.02
Au: 0.7315 0.0000 0.4691  2 Au 2.79, 1 Y 2.98, 4 Hg 3.03-3.04

Summary:
Energy relative to the elements (eV/atom): -0.470

***

## PmPr8Sc2 (GGA-PBE)

Data for a geometry-optimized PmPr8Sc2 structure.

a = 9.4253 Å, b = 9.4253 Å, c = 9.4253 Å
α = 145.60°, β = 126.07°, γ = 65.55°
Last column: nearest neighbours and their distance in Å.
Fractional coordinates of all 11 atoms:
Pm: 0.0000 0.0000 0.0000  12 Pr 3.43-3.79
Pr: 0.1526 0.8551 0.2975  3 Sc 3.40-3.53, 1 Pm 3.43, 6 Pr 3.46-3.78
Pr: 0.1607 0.6607 0.5000  8 Pr 3.53-3.78, 2 Sc 3.55, 2 Pm 3.78
Pr: 0.3008 0.5000 0.8008  7 Pr 3.41-3.62, 2 Sc 3.61, 2 Pm 3.79
Pr: 0.4424 0.1449 0.2975  3 Sc 3.40-3.53, 1 Pm 3.43, 6 Pr 3.46-3.78
Pr: 0.5576 0.8551 0.7025  3 Sc 3.40-3.53, 1 Pm 3.43, 6 Pr 3.46-3.78
Pr: 0.6992 0.5000 0.1992  7 Pr 3.41-3.62, 2 Sc 3.61, 2 Pm 3.79
Pr: 0.8393 0.3393 0.5000  8 Pr 3.53-3.78, 2 Sc 3.55, 2 Pm 3.78
Pr: 0.8474 0.1449 0.7025  3 Sc 3.40-3.53, 1 Pm 3.43, 6 Pr 3.46-3.78
Sc: 0.2995 0.2995 0.0000  10 Pr 3.40-3.61
Sc: 0.7005 0.7005 0.0000  10 Pr 3.40-3.61

Summary:
Energy relative to the elements (eV/atom): 0.119
ΔE to the lowest computed polymorph (eV per atom): 0.000

***

## Cs2Sb3Pt5 (GGA-PBE)

Data for a geometry-optimized Cs2Sb3Pt5 structure.

a = 7.4173 Å, b = 9.6224 Å, c = 10.4556 Å
α = 81.15°, β = 69.69°, γ = 68.18°
Last column: nearest neighbours and their distance in Å.
Fractional coordinates of all 20 atoms:
Cs: 0.2274 0.4223 0.1152  3 Pt 3.57-3.77, 2 Sb 3.82-3.87
Cs: 0.2646 0.8806 0.5981  5 Pt 3.60-3.98
Cs: 0.7354 0.1194 0.4019  5 Pt 3.60-3.98
Cs: 0.7726 0.5777 0.8848  3 Pt 3.57-3.77, 2 Sb 3.82-3.87
Sb: 0.0856 0.3243 0.4974  4 Pt 2.59-2.72
Sb: 0.2858 0.9968 0.0022  4 Pt 2.56-2.63
Sb: 0.4278 0.4300 0.7200  5 Pt 2.67-2.73
Sb: 0.5722 0.5700 0.2800  5 Pt 2.67-2.73
Sb: 0.7142 0.0032 0.9978  4 Pt 2.56-2.63
Sb: 0.9144 0.6757 0.5026  4 Pt 2.59-2.72
Pt: 0.0009 0.1139 0.8917  2 Sb 2.56-2.57, 2 Pt 2.64-2.65
Pt: 0.1866 0.7319 0.2862  2 Sb 2.60-2.68, 3 Pt 2.65-2.90
Pt: 0.2037 0.2712 0.7117  2 Sb 2.59-2.67, 3 Pt 2.64-2.90
Pt: 0.2980 0.5004 0.5002  4 Sb 2.68-2.72, 2 Pt 2.97-2.99
Pt: 0.4919 0.8536 0.1688  3 Sb 2.61-2.73, 2 Pt 2.75-2.76
Pt: 0.5081 0.1464 0.8312  3 Sb 2.61-2.73, 2 Pt 2.75-2.76
Pt: 0.7020 0.4996 0.4998  4 Sb 2.68-2.72, 2 Pt 2.97-2.99
Pt: 0.7963 0.7288 0.2883  2 Sb 2.59-2.67, 3 Pt 2.64-2.90
Pt: 0.8134 0.2681 0.7138  2 Sb 2.60-2.68, 3 Pt 2.65-2.90
Pt: 0.9991 0.8861 0.1083  2 Sb 2.56-2.57, 2 Pt 2.64-2.65

***

Asked for E_tot across the records above, the calculation gives -0.644 -0.547 -0.231 -0.183 -0.279 -0.363 -0.352 Ry/atom in order.